No. 1
# Tb2Pm4Ho2Tm GGA-PBE optimized geometry
data_Tb2Pm4Ho2Tm
_chemical_formula_sum 'Tb4 Pm8 Ho4 Tm2'
_cell_length_a 15.226
_cell_length_b 5.070
_cell_length_c 8.004
_cell_angle_alpha 90.00
_cell_angle_beta 108.52
_cell_angle_gamma 90.00
_space_group_name_H-M_alt 'C 1 2/m 1'
_space_group_IT_number 12
loop_
_space_group_symop_operation_xyz
'x,y,z'
'-x,-y,-z'
'-x,y,-z'
'x,-y,z'
'x+1/2,y+1/2,z'
'-x+1/2,-y+1/2,-z'
'-x+1/2,y+1/2,-z'
'x+1/2,-y+1/2,z'
loop_
_atom_site_label
_atom_site_type_symbol
_atom_site_fract_x
_atom_site_fract_y
_atom_site_fract_z
_atom_site_occupancy
Tb1 Tb 0.111 0.000 0.170 1
Pm1 Pm 0.055 0.500 0.831 1
Pm2 Pm 0.222 0.000 0.832 1
Ho1 Ho 0.167 0.500 0.500 1
Tm1 Tm 0.000 0.000 0.500 1
# crystal system = monoclinic
# calculated formation energy = 0.0199 eV per atom
# total magnetic moment = 0.00 μB per formula unit
# raw total energy = -83.42 eV/cell

No. 2
# TbPm6Ho2Tm3 GGA-PBE optimized geometry
data_TbPm6Ho2Tm3
_chemical_formula_sum 'Tb2 Pm12 Ho4 Tm6'
_cell_length_a 6.218
_cell_length_b 10.767
_cell_length_c 11.761
_cell_angle_alpha 90.00
_cell_angle_beta 100.11
_cell_angle_gamma 90.00
_space_group_name_H-M_alt 'C 1 2/m 1'
_space_group_IT_number 12
loop_
_space_group_symop_operation_xyz
'x,y,z'
'-x,-y,-z'
'-x,y,-z'
'x,-y,z'
'x+1/2,y+1/2,z'
'-x+1/2,-y+1/2,-z'
'-x+1/2,y+1/2,-z'
'x+1/2,-y+1/2,z'
loop_
_atom_site_label
_atom_site_type_symbol
_atom_site_fract_x
_atom_site_fract_y
_atom_site_fract_z
_atom_site_occupancy
Tb1 Tb 0.000 0.000 0.000 1
Pm1 Pm 0.249 0.000 0.749 1
Pm2 Pm 0.249 0.333 0.749 1
Ho1 Ho 0.000 0.333 0.000 1
Tm1 Tm 0.000 0.167 0.500 1
Tm2 Tm 0.000 0.500 0.500 1
# crystal system = monoclinic
# calculated formation energy = 0.0142 eV per atom
# total magnetic moment = 0.00 μB per formula unit
# raw total energy = -111.07 eV/cell

No. 3
# TbPm2Ho4Tm GGA-PBE optimized geometry
data_TbPm2Ho4Tm
_chemical_formula_sum 'Tb4 Pm8 Ho16 Tm4'
_cell_length_a 6.783
_cell_length_b 11.767
_cell_length_c 13.242
_cell_angle_alpha 90.00
_cell_angle_beta 90.00
_cell_angle_gamma 90.00
_space_group_name_H-M_alt 'I m m a'
_space_group_IT_number 74
_space_group_name_Hall '-I 2b 2'
loop_
_atom_site_label
_atom_site_type_symbol
_atom_site_fract_x
_atom_site_fract_y
_atom_site_fract_z
_atom_site_occupancy
Tb1 Tb 0.000 0.000 0.000 1
Pm1 Pm 0.000 0.000 0.500 1
Pm2 Pm 0.250 0.250 0.250 1
Ho1 Ho 0.000 0.004 0.751 1
Ho2 Ho 0.249 0.250 0.996 1
Tm1 Tm 0.250 0.250 0.750 1
# crystal system = orthorhombic
# calculated formation energy = 0.4323 eV per atom
# total magnetic moment = 2.90 μB per formula unit
# raw total energy = -133.82 eV/cell

No. 4
# Tb3Pm2Ho6Tm GGA-PBE optimized geometry
data_Tb3Pm2Ho6Tm
_chemical_formula_sum 'Tb6 Pm4 Ho12 Tm2'
_cell_length_a 6.151
_cell_length_b 10.645
_cell_length_c 11.757
_cell_angle_alpha 90.00
_cell_angle_beta 99.99
_cell_angle_gamma 90.00
_space_group_name_H-M_alt 'C 1 2/m 1'
_space_group_IT_number 12
loop_
_space_group_symop_operation_xyz
'x,y,z'
'-x,-y,-z'
'-x,y,-z'
'x,-y,z'
'x+1/2,y+1/2,z'
'-x+1/2,-y+1/2,-z'
'-x+1/2,y+1/2,-z'
'x+1/2,-y+1/2,z'
loop_
_atom_site_label
_atom_site_type_symbol
_atom_site_fract_x
_atom_site_fract_y
_atom_site_fract_z
_atom_site_occupancy
Tb1 Tb 0.000 0.000 0.000 1
Tb2 Tb 0.000 0.333 0.000 1
Pm1 Pm 0.000 0.166 0.500 1
Ho1 Ho 0.248 0.500 0.249 1
Ho2 Ho 0.250 0.166 0.249 1
Tm1 Tm 0.000 0.500 0.500 1
# crystal system = monoclinic
# calculated formation energy = 0.0163 eV per atom
# total magnetic moment = 0.00 μB per formula unit
# raw total energy = -110.27 eV/cell

No. 5
# TbPm2Ho4Tm2 GGA-PBE optimized geometry
data_TbPm2Ho4Tm2
_chemical_formula_sum 'Tb1 Pm2 Ho4 Tm2'
_cell_length_a 5.976
_cell_length_b 6.591
_cell_length_c 8.554
_cell_angle_alpha 79.97
_cell_angle_beta 70.35
_cell_angle_gamma 64.81
_space_group_name_H-M_alt 'P -1'
_space_group_IT_number 2
loop_
_space_group_symop_operation_xyz
'x,y,z'
'-x,-y,-z'
loop_
_atom_site_label
_atom_site_type_symbol
_atom_site_fract_x
_atom_site_fract_y
_atom_site_fract_z
_atom_site_occupancy
Tb1 Tb 0.000 0.000 0.000 1
Pm1 Pm 0.268 0.675 0.657 1
Ho1 Ho 0.261 0.422 0.115 1
Ho2 Ho 0.381 0.871 0.240 1
Tm1 Tm 0.180 0.230 0.555 1
# crystal system = triclinic
# calculated formation energy = 0.0851 eV per atom
# total magnetic moment = 0.00 μB per formula unit
# raw total energy = -40.62 eV/cell

No. 6
# Tb3PmHo6Tm2 GGA-PBE optimized geometry
data_Tb3PmHo6Tm2
_chemical_formula_sum 'Tb6 Pm2 Ho12 Tm4'
_cell_length_a 6.126
_cell_length_b 10.599
_cell_length_c 11.721
_cell_angle_alpha 90.00
_cell_angle_beta 99.97
_cell_angle_gamma 90.00
_space_group_name_H-M_alt 'C 1 2/m 1'
_space_group_IT_number 12
loop_
_space_group_symop_operation_xyz
'x,y,z'
'-x,-y,-z'
'-x,y,-z'
'x,-y,z'
'x+1/2,y+1/2,z'
'-x+1/2,-y+1/2,-z'
'-x+1/2,y+1/2,-z'
'x+1/2,-y+1/2,z'
loop_
_atom_site_label
_atom_site_type_symbol
_atom_site_fract_x
_atom_site_fract_y
_atom_site_fract_z
_atom_site_occupancy
Tb1 Tb 0.000 0.000 0.000 1
Tb2 Tb 0.000 0.333 0.000 1
Pm1 Pm 0.000 0.500 0.500 1
Ho1 Ho 0.249 0.167 0.250 1
Ho2 Ho 0.250 0.000 0.750 1
Tm1 Tm 0.000 0.167 0.500 1
# crystal system = monoclinic
# calculated formation energy = 0.0180 eV per atom
# total magnetic moment = 0.00 μB per formula unit
# raw total energy = -109.67 eV/cell

No. 7
# Tb4PmHoTm2 GGA-PBE optimized geometry
data_Tb4PmHoTm2
_chemical_formula_sum 'Tb16 Pm4 Ho4 Tm8'
_cell_length_a 13.559
_cell_length_b 13.240
_cell_length_c 6.770
_cell_angle_alpha 90.00
_cell_angle_beta 119.95
_cell_angle_gamma 90.00
_space_group_name_H-M_alt 'C 1 2/c 1'
_space_group_IT_number 15
loop_
_space_group_symop_operation_xyz
'x,y,z'
'-x,-y,-z'
'-x,y,-z+1/2'
'x,-y,z+1/2'
'x+1/2,y+1/2,z'
'-x+1/2,-y+1/2,-z'
'-x+1/2,y+1/2,-z+1/2'
'x+1/2,-y+1/2,z+1/2'
loop_
_atom_site_label
_atom_site_type_symbol
_atom_site_fract_x
_atom_site_fract_y
_atom_site_fract_z
_atom_site_occupancy
Tb1 Tb 0.000 0.249 0.002 1
Tb2 Tb 0.249 0.003 0.501 1
Pm1 Pm 0.250 0.250 0.000 1
Ho1 Ho 0.000 0.500 0.000 1
Tm1 Tm 0.000 0.000 0.000 1
Tm2 Tm 0.250 0.250 0.500 1
# crystal system = monoclinic
# calculated formation energy = 0.4348 eV per atom
# total magnetic moment = 3.18 μB per formula unit
# raw total energy = -133.25 eV/cell

No. 8
# Tb2Pm2Ho4Tm GGA-PBE optimized geometry
data_Tb2Pm2Ho4Tm
_chemical_formula_sum 'Tb4 Pm4 Ho8 Tm2'
_cell_length_a 18.614
_cell_length_b 3.587
_cell_length_c 9.534
_cell_angle_alpha 90.00
_cell_angle_beta 115.70
_cell_angle_gamma 90.00
_space_group_name_H-M_alt 'C 1 2/m 1'
_space_group_IT_number 12
loop_
_space_group_symop_operation_xyz
'x,y,z'
'-x,-y,-z'
'-x,y,-z'
'x,-y,z'
'x+1/2,y+1/2,z'
'-x+1/2,-y+1/2,-z'
'-x+1/2,y+1/2,-z'
'x+1/2,-y+1/2,z'
loop_
_atom_site_label
_atom_site_type_symbol
_atom_site_fract_x
_atom_site_fract_y
_atom_site_fract_z
_atom_site_occupancy
Tb1 Tb 0.147 0.000 0.163 1
Pm1 Pm 0.165 0.500 0.499 1
Ho1 Ho 0.019 0.500 0.834 1
Ho2 Ho 0.185 0.000 0.835 1
Tm1 Tm 0.000 0.000 0.500 1
# crystal system = monoclinic
# calculated formation energy = -0.0008 eV per atom
# total magnetic moment = 0.00 μB per formula unit
# raw total energy = -83.10 eV/cell

No. 9
# Tb3Pm6Ho2Tm GGA-PBE optimized geometry
data_Tb3Pm6Ho2Tm
_chemical_formula_sum 'Tb6 Pm12 Ho4 Tm2'
_cell_length_a 6.237
_cell_length_b 10.799
_cell_length_c 11.828
_cell_angle_alpha 90.00
_cell_angle_beta 100.08
_cell_angle_gamma 90.00
_space_group_name_H-M_alt 'C 1 2/m 1'
_space_group_IT_number 12
loop_
_space_group_symop_operation_xyz
'x,y,z'
'-x,-y,-z'
'-x,y,-z'
'x,-y,z'
'x+1/2,y+1/2,z'
'-x+1/2,-y+1/2,-z'
'-x+1/2,y+1/2,-z'
'x+1/2,-y+1/2,z'
loop_
_atom_site_label
_atom_site_type_symbol
_atom_site_fract_x
_atom_site_fract_y
_atom_site_fract_z
_atom_site_occupancy
Tb1 Tb 0.000 0.000 0.000 1
Tb2 Tb 0.000 0.333 0.000 1
Pm1 Pm 0.250 0.000 0.749 1
Pm2 Pm 0.250 0.166 0.251 1
Ho1 Ho 0.000 0.167 0.500 1
Tm1 Tm 0.000 0.500 0.500 1
# crystal system = monoclinic
# calculated formation energy = 0.0128 eV per atom
# total magnetic moment = 0.00 μB per formula unit
# raw total energy = -111.74 eV/cell

No. 10
# Tb4Pm2HoTm2 GGA-PBE optimized geometry
data_Tb4Pm2HoTm2
_chemical_formula_sum 'Tb8 Pm4 Ho2 Tm4'
_cell_length_a 18.639
_cell_length_b 3.594
_cell_length_c 9.549
_cell_angle_alpha 90.00
_cell_angle_beta 115.70
_cell_angle_gamma 90.00
_space_group_name_H-M_alt 'C 1 2/m 1'
_space_group_IT_number 12
loop_
_space_group_symop_operation_xyz
'x,y,z'
'-x,-y,-z'
'-x,y,-z'
'x,-y,z'
'x+1/2,y+1/2,z'
'-x+1/2,-y+1/2,-z'
'-x+1/2,y+1/2,-z'
'x+1/2,-y+1/2,z'
loop_
_atom_site_label
_atom_site_type_symbol
_atom_site_fract_x
_atom_site_fract_y
_atom_site_fract_z
_atom_site_occupancy
Tb1 Tb 0.018 0.000 0.330 1
Tb2 Tb 0.184 0.500 0.331 1
Pm1 Pm 0.148 0.500 0.668 1
Ho1 Ho 0.000 0.500 0.000 1
Tm1 Tm 0.167 0.000 0.001 1
# crystal system = monoclinic
# calculated formation energy = 0.0139 eV per atom
# total magnetic moment = 0.00 μB per formula unit
# raw total energy = -82.84 eV/cell